VASP calculation (GGA-PBE) on an optimized crystal structure of Ti2InN.

a b c (Å): 7.3144 7.3144 7.3144
angles (deg): 24.33 24.33 24.33
Sites, in units of the cell vectors:
Ti  0.0000  0.0000  0.0000
Ti  0.2281  0.2281  0.2281
In  0.7812  0.7812  0.7812
N  0.6134  0.6134  0.6134

Calculated values
E_tot	-31.04	eV/f.u.
symmetry	No. 160
raw formation energy	-1.046	eV per atom